(1)
# ZnSiMo2 PBE relaxed
data_ZnSiMo2
_chemical_formula_sum 'Zn2 Si2 Mo4'
_space_group_name_H-M_alt 'C 1 2/m 1'
_space_group_IT_number 12
_space_group_name_Hall '-C 2y'
_cell_length_a 8.831
_cell_length_b 2.725
_cell_length_c 5.085
_cell_angle_alpha 90.00
_cell_angle_beta 100.67
_cell_angle_gamma 90.00
loop_
_atom_site_label
_atom_site_type_symbol
_atom_site_fract_x
_atom_site_fract_y
_atom_site_fract_z
Zn1 Zn 0.000 0.000 0.000
Si1 Si 0.000 0.500 0.500
Mo1 Mo 0.242 0.000 0.746
# Formation energy from raw total energies ... 0.49 eV/f.u.
# Calculated density ... 7.9 g/cm³
# Excess energy over the best structure of this formula in the dataset ... 158 meV per atom
# N(E_F) ... 0.80 states/eV/atom


(2)
# Be2TeCl PBE relaxed
data_Be2TeCl
_chemical_formula_sum 'Be6 Te3 Cl3'
_space_group_name_H-M_alt 'R -3 m'
_space_group_IT_number 166
_space_group_name_Hall '-R 3 2"'
_cell_length_a 3.7547
_cell_length_b 3.7547
_cell_length_c 17.9040
_cell_angle_alpha 90.00
_cell_angle_beta 90.00
_cell_angle_gamma 120.00
loop_
_atom_site_label
_atom_site_type_symbol
_atom_site_fract_x
_atom_site_fract_y
_atom_site_fract_z
Be1 Be 0.0000 0.0000 0.2430
Te1 Te 0.0000 0.0000 0.5000
Cl1 Cl 0.0000 0.0000 0.0000
# Formation energy from raw total energies ... 0.60 eV/f.u.
# Calculated density ... 4.1 g/cm³
# Excess energy over the best structure of this formula in the dataset ... 293 meV per atom
# N(E_F) ... 0.21 states/eV/atom


(3)
# MgNbPdRh PBE relaxed
data_MgNbPdRh
_chemical_formula_sum 'Mg4 Nb4 Pd4 Rh4'
_space_group_name_H-M_alt 'F -4 3 m'
_space_group_IT_number 216
_space_group_name_Hall 'F -4 2 3'
_cell_length_a 6.372
_cell_length_b 6.372
_cell_length_c 6.372
_cell_angle_alpha 90.00
_cell_angle_beta 90.00
_cell_angle_gamma 90.00
loop_
_atom_site_label
_atom_site_type_symbol
_atom_site_fract_x
_atom_site_fract_y
_atom_site_fract_z
Mg1 Mg 0.000 0.000 0.000
Nb1 Nb 0.000 0.000 0.500
Pd1 Pd 0.250 0.250 0.250
Rh1 Rh 0.250 0.250 0.750
# Calculated density ... 8.4 g/cm³
# Formation energy from the elements ... -0.405 eV/atom
# N(E_F) ... 0.91 states/eV/atom


(4)
# AgHg5 PBE relaxed
data_AgHg5
_chemical_formula_sum 'Ag1 Hg5'
_space_group_name_H-M_alt 'P 4/m m m'
_space_group_IT_number 123
_space_group_name_Hall '-P 4 2'
_cell_length_a 3.209
_cell_length_b 3.209
_cell_length_c 14.071
_cell_angle_alpha 90.00
_cell_angle_beta 90.00
_cell_angle_gamma 90.00
loop_
_atom_site_label
_atom_site_type_symbol
_atom_site_fract_x
_atom_site_fract_y
_atom_site_fract_z
Ag1 Ag 0.000 0.000 0.000
Hg1 Hg 0.000 0.000 0.320
Hg2 Hg 0.500 0.500 0.144
Hg3 Hg 0.500 0.500 0.500
# Calculated density ... 12.7 g/cm³
# Formation energy from the elements ... 0.072 eV/atom
# Excess energy over the best structure of this formula in the dataset ... 0 meV per atom
# N(E_F) ... 0.25 states/eV/atom


(5)
# InHPtRh2 PBE relaxed
data_InHPtRh2
_chemical_formula_sum 'In1 H1 Pt1 Rh2'
_space_group_name_H-M_alt 'P 4/m m m'
_space_group_IT_number 123
_space_group_name_Hall '-P 4 2'
_cell_length_a 4.080
_cell_length_b 4.080
_cell_length_c 3.958
_cell_angle_alpha 90.00
_cell_angle_beta 90.00
_cell_angle_gamma 90.00
loop_
_atom_site_label
_atom_site_type_symbol
_atom_site_fract_x
_atom_site_fract_y
_atom_site_fract_z
In1 In 0.000 0.000 0.000
H1 H 0.500 0.500 0.500
Pt1 Pt 0.500 0.500 0.000
Rh1 Rh 0.000 0.500 0.500
# Calculated density ... 13.0 g/cm³
# Excess energy over the best structure of this formula in the dataset ... 0 meV per atom
# N(E_F) ... 0.75 states/eV/atom


(6)
# YPaRuRh PBE relaxed
data_YPaRuRh
_chemical_formula_sum 'Y4 Pa4 Ru4 Rh4'
_space_group_name_H-M_alt 'F -4 3 m'
_space_group_IT_number 216
_space_group_name_Hall 'F -4 2 3'
_cell_length_a 6.870
_cell_length_b 6.870
_cell_length_c 6.870
_cell_angle_alpha 90.00
_cell_angle_beta 90.00
_cell_angle_gamma 90.00
loop_
_atom_site_label
_atom_site_type_symbol
_atom_site_fract_x
_atom_site_fract_y
_atom_site_fract_z
Y1 Y 0.000 0.000 0.000
Pa1 Pa 0.000 0.000 0.500
Ru1 Ru 0.250 0.250 0.750
Rh1 Rh 0.250 0.250 0.250
# Calculated density ... 10.7 g/cm³
# Formation energy from the elements ... -0.522 eV/atom
# N(E_F) ... 1.19 states/eV/atom